[1]
CsLa2CuAu (GGA-PBE, optimized geometry); energy of formation = 1.11 eV/atom; total energy = -0.092 hartree per atom
1.0
5.877 0.000 0.000
0.000 4.900 0.000
0.000 0.000 5.877
Cu Cs Au La
1 1 1 2
Cartesian
0.000 2.450 0.000 Cu
0.000 0.000 0.000 Cs
2.938 2.450 2.938 Au
0.000 0.000 2.938 La
2.938 0.000 0.000 La


[2]
BaBe2Sb (GGA-PBE, optimized geometry); formation energy without anion corrections = 0.719 eV/atom; total energy = -0.098 hartree per atom
1.0
6.034 -0.001 0.000
2.809 5.340 0.000
-4.422 -2.670 3.120
Be Sb Ba
2 1 1
Cartesian
1.405 2.670 1.560 Be
0.000 0.000 0.000 Be
4.422 2.670 0.000 Sb
3.017 0.000 1.560 Ba


[3]
Ba2ScPb2O6 (GGA-PBE, optimized geometry); formation energy without anion corrections = -1.865 eV/atom; total energy = -0.227 hartree per atom
1.0
-4.297 3.942 -3.093
-6.463 -0.567 1.213
-3.113 5.074 3.748
O Ba Pb Sc
6 2 2 1
Cartesian
-9.127 3.840 -0.570 O
-8.470 4.281 3.138 O
-7.222 6.880 0.657 O
-4.746 4.608 2.439 O
-5.403 4.167 -1.269 O
-6.651 1.569 1.211 O
-3.394 2.733 1.155 Ba
-10.479 5.715 0.713 Ba
-6.819 5.205 2.021 Pb
-7.054 3.243 -0.153 Pb
0.000 0.000 0.000 Sc


[4]
VGeIr3 (GGA-PBE, optimized geometry); energy relative to the lowest polymorph listed for this composition = 1.62 kcal/mol of atoms; energy of formation = 1.15 eV/atom; total energy = -0.254 hartree per atom
1.0
-2.314 -1.955 -3.408
3.849 -1.923 -1.510
-0.789 -3.643 2.626
Ge Ir V
1 3 1
Cartesian
0.373 -3.760 -1.146 Ge
1.924 -0.961 -0.755 Ir
-0.395 -1.822 1.313 Ir
-1.157 -0.978 -1.704 Ir
0.000 0.000 0.000 V


[5]
KCaRh2 (GGA-PBE, optimized geometry); energy relative to the lowest polymorph listed for this composition = 4.56 kcal/mol of atoms; energy of formation = 0.28 eV/atom; total energy = -0.153 hartree per atom
1.0
-0.583 3.601 -3.428
-3.275 3.139 -2.117
1.163 5.356 4.276
Ca K Rh
1 1 2
Cartesian
-2.021 9.072 -0.952 Ca
-0.674 3.024 -0.317 K
-1.213 6.516 -0.193 Rh
1.028 4.888 3.835 Rh


[6]
Tm12Sc7Tl (GGA-PBE, optimized geometry); energy of formation = 0.07 eV/atom; total energy = -0.182 hartree per atom
1.0
0.209 -4.812 6.919
0.276 -5.804 -6.108
7.863 3.034 -0.191
Sc Tm Tl
7 12 1
Cartesian
2.960 -8.661 0.678 Sc
5.388 1.079 -0.058 Sc
0.933 -4.111 -3.526 Sc
0.897 -3.524 4.120 Sc
7.451 -4.058 -3.500 Sc
4.174 -3.791 0.310 Sc
7.416 -3.471 4.147 Sc
2.785 -1.297 -1.567 Tm
5.563 -6.284 2.187 Tm
2.195 -6.104 -1.227 Tm
4.165 -3.529 3.711 Tm
2.733 -1.079 1.806 Tm
7.561 -4.232 0.391 Tm
6.153 -1.478 1.848 Tm
6.173 -1.749 -1.552 Tm
5.616 -6.503 -1.186 Tm
4.183 -4.052 -3.090 Tm
0.788 -3.350 0.229 Tm
2.175 -5.832 2.172 Tm
0.000 0.000 0.000 Tl


[7]
Na2ICl6 (GGA-PBE, optimized geometry); formation energy without anion corrections = -0.806 eV/atom; energy relative to the lowest polymorph listed for this composition = 0.00 kcal/mol of atoms; total energy = -0.092 hartree per atom
1.0
-2.369 3.237 5.810
-6.088 -3.567 -0.496
4.875 -9.055 5.282
Cl Na I
12 4 2
Cartesian
-0.438 -3.613 2.874 Cl
1.974 -6.179 4.487 Cl
-2.293 -0.513 1.099 Cl
-0.374 -3.032 6.699 Cl
-1.289 -8.873 9.497 Cl
-4.792 -3.094 2.144 Cl
-5.557 -3.206 6.109 Cl
-0.788 -8.681 5.938 Cl
1.209 -6.292 8.452 Cl
-2.795 -0.705 4.658 Cl
-3.209 -6.354 3.897 Cl
-3.145 -5.772 7.722 Cl
-2.396 -3.631 1.013 Na
-3.697 -8.036 6.351 Na
-1.187 -5.755 9.583 Na
0.114 -1.350 4.245 Na
2.438 -4.528 2.641 I
-4.229 -0.165 2.657 I


[8]
Te2NCl (GGA-PBE, optimized geometry); formation energy without anion corrections = 0.481 eV/atom; energy relative to the lowest polymorph listed for this composition = 0.00 kcal/mol of atoms; total energy = -0.133 hartree per atom
1.0
-3.976 -4.441 6.796
-3.274 -7.072 4.582
-0.795 -5.923 6.784
N Te Cl
1 2 1
Cartesian
0.000 0.000 0.000 N
-0.585 -1.269 1.322 Te
-7.460 -16.168 16.840 Te
-4.023 -8.718 9.081 Cl